{
  "formula": "Rb3InO3",
  "functional": "GGA-PBE",
  "state": "relaxed",
  "mass_density_kg_m3": 4201,
  "e_form_raw_ev_per_atom": -1.33,
  "dos_ef_per_ev_fu": 0.0,
  "e_tot_ry_per_atom": -0.3134,
  "polymorph_energy_mev_per_atom": 17.1,
  "sg": "P2_1/c",
  "cell": [[-5.0179, 2.8839, 4.0360], [2.5211, -3.5544, 5.6741], [10.4842, 6.5330, 8.3666]],
  "species": ["O", "O", "O", "O", "O", "Rb", "O", "Rb", "Rb", "Rb", "O", "O", "In", "In", "Rb", "In", "In", "O", "Rb", "O", "Rb", "Rb", "Rb", "Rb", "Rb", "O", "O", "Rb"],
  "fractional_positions": [[0.7618, 0.4120, 0.4302], [0.7382, 0.4120, 0.9302], [0.7941, 0.1677, 0.7814], [0.6617, 0.8487, 0.5393], [0.3383, 0.1513, 0.4607], [0.4527, 0.2132, 0.1032], [0.8383, 0.8487, 0.0393], [0.0473, 0.2132, 0.6032], [0.0401, 0.7369, 0.8819], [0.5473, 0.7868, 0.8968], [0.2941, 0.8323, 0.7186], [0.2618, 0.5880, 0.0698], [0.1319, 0.8334, 0.0836], [0.8681, 0.1666, 0.9164], [0.9162, 0.6131, 0.6829], [0.3681, 0.8334, 0.5836], [0.6319, 0.1666, 0.4164], [0.2382, 0.5880, 0.5698], [0.5401, 0.2631, 0.6181], [0.1617, 0.1513, 0.9607], [0.4599, 0.7369, 0.3819], [0.9527, 0.7868, 0.3968], [0.5838, 0.6131, 0.1829], [0.0838, 0.3869, 0.3171], [0.9599, 0.2631, 0.1181], [0.2059, 0.8323, 0.2186], [0.7059, 0.1677, 0.2814], [0.4162, 0.3869, 0.8171]]
}